(1)
Density functional theory data (PBE) for an optimized crystal structure of Sr2GeBr.

a = 3.834 Å, b = 3.834 Å, c = 8.401 Å
α = 90.00°, β = 90.00°, γ = 90.00°
Atoms (fractional coordinates):
Sr1 0.000 0.000 0.221
Sr2 0.000 0.000 0.779
Ge1 0.500 0.500 0.000
Br1 0.500 0.500 0.500

Output
magnetization = 0.0 Bohr magnetons per cell
symmetry = No. 123
E above lowest polymorph = 0.084 eV/atom
formation energy (no corrections) = -1010.0 meV per atom


(2)
Density functional theory data (PBE) for an optimized crystal structure of Sr2GeBr.

a = 7.898 Å, b = 7.898 Å, c = 7.898 Å
α = 90.00°, β = 90.00°, γ = 90.00°
Atoms (fractional coordinates):
Sr1 0.250 0.250 0.250
Sr2 0.250 0.250 0.750
Sr3 0.250 0.750 0.250
Sr4 0.250 0.750 0.750
Sr5 0.750 0.250 0.250
Sr6 0.750 0.250 0.750
Sr7 0.750 0.750 0.250
Sr8 0.750 0.750 0.750
Ge1 0.000 0.000 0.000
Ge2 0.000 0.500 0.500
Ge3 0.500 0.000 0.500
Ge4 0.500 0.500 0.000
Br1 0.000 0.000 0.500
Br2 0.000 0.500 0.000
Br3 0.500 0.000 0.000
Br4 0.500 0.500 0.500

Output
magnetization = 4.0 Bohr magnetons per cell
symmetry = No. 225
E above lowest polymorph = 0.234 eV/atom
formation energy (no corrections) = -860.3 meV per atom


(3)
Density functional theory data (PBE) for an optimized crystal structure of SrGe3Br.

a = 5.893 Å, b = 5.893 Å, c = 5.893 Å
α = 90.00°, β = 90.00°, γ = 90.00°
Atoms (fractional coordinates):
Sr1 0.000 0.000 0.000
Ge1 0.000 0.000 0.500
Ge2 0.000 0.500 0.000
Ge3 0.500 0.000 0.000
Br1 0.500 0.500 0.500

Output
magnetization = 3.3 Bohr magnetons per cell
symmetry = No. 221
E above lowest polymorph = 0.720 eV/atom
formation energy (no corrections) = 1103.4 meV per atom


(4)
Density functional theory data (PBE) for an optimized crystal structure of SrGe3Br.

a = 5.282 Å, b = 5.282 Å, c = 5.282 Å
α = 90.00°, β = 90.00°, γ = 90.00°
Atoms (fractional coordinates):
Sr1 0.000 0.000 0.000
Ge1 0.000 0.500 0.500
Ge2 0.500 0.000 0.500
Ge3 0.500 0.500 0.000
Br1 0.500 0.500 0.500

Output
magnetization = 0.0 Bohr magnetons per cell
symmetry = No. 221
E above lowest polymorph = 0.000 eV/atom
formation energy (no corrections) = 383.7 meV per atom


(5)
Density functional theory data (PBE) for an optimized crystal structure of Sr5GeBr5.

a = 7.971 Å, b = 7.971 Å, c = 9.099 Å
α = 106.89°, β = 106.89°, γ = 46.80°
Atoms (fractional coordinates):
Sr1 0.000 0.000 0.000
Sr2 0.348 0.348 0.161
Sr3 0.348 0.348 0.685
Sr4 0.652 0.652 0.315
Sr5 0.652 0.652 0.839
Ge1 0.500 0.500 0.000
Br1 0.174 0.174 0.834
Br2 0.186 0.186 0.341
Br3 0.500 0.500 0.500
Br4 0.814 0.814 0.659
Br5 0.826 0.826 0.166

Output
magnetization = 0.0 Bohr magnetons per cell
symmetry = No. 12
formation energy (no corrections) = -1575.7 meV per atom


(6)
Density functional theory data (PBE) for an optimized crystal structure of Sr2GeBr.

a = 4.457 Å, b = 4.457 Å, c = 24.001 Å
α = 90.00°, β = 90.00°, γ = 120.00°
Atoms (fractional coordinates):
Sr1 0.000 0.000 0.242
Sr2 0.000 0.000 0.758
Sr3 0.333 0.667 0.425
Sr4 0.333 0.667 0.909
Sr5 0.667 0.333 0.091
Sr6 0.667 0.333 0.575
Ge1 0.000 0.000 0.500
Ge2 0.333 0.667 0.167
Ge3 0.667 0.333 0.833
Br1 0.000 0.000 0.000
Br2 0.333 0.667 0.667
Br3 0.667 0.333 0.333

Output
magnetization = 0.0 Bohr magnetons per cell
symmetry = No. 166
E above lowest polymorph = 0.025 eV/atom
formation energy (no corrections) = -1069.1 meV per atom